VASP calculation (PBE) on a geometry-optimized ThCuS structure.

Output
**Theoretical density**: 8.16 Mg/m³
**Magnetization**: 0.0 μB/cell
**Formation energy without anion corrections**: -1.027 eV/atom

a = 4.5679 Å, b = 4.5679 Å, c = 7.8389 Å
α = 73.06°, β = 73.06°, γ = 60.00°
Closest atoms and distances in Å follow each position.
Positions (direct):
S  0.2879  0.2879  0.1364  1 Cu 2.61, 3 Th 2.80
S  0.7121  0.7121  0.8636  1 Cu 2.61, 3 Th 2.80
Cu  0.1699  0.1699  0.4902  1 S 2.61, 3 Cu 2.64
Cu  0.8301  0.8301  0.5098  1 S 2.61, 3 Cu 2.64
Th  0.4207  0.4207  0.7380  4 S 2.80-2.94, 3 Cu 3.13
Th  0.5793  0.5793  0.2620  4 S 2.80-2.94, 3 Cu 3.13